VASP calculation (PBE-GGA) on a relaxed HoBeF6 crystal.

Values from the calculation:
For the magnetization, the calculation gives 0.13 μB/atom. For the density of states at the Fermi level, the calculation gives 0.420 states/eV per atom. The calculated density is 5.750 g/cm3. Its total energy is -5.470 eV/atom. The calculation puts the energy relative to the elements, uncorrected at -3.03 eV per atom.

a = 4.3143 Å, b = 4.3143 Å, c = 4.6666 Å
α = 96.07°, β = 96.07°, γ = 103.68°
Last column: nearest neighbours and their distance in Å.
Fractional coordinates of all 8 atoms:
Ho: 0.0000 0.0000 0.0000  6 F 2.22-2.34
Be: 0.5000 0.5000 0.5000  6 F 1.70-1.77
F: 0.1893 0.5296 0.2323  1 Be 1.77
F: 0.2273 0.2273 0.6439  1 Be 1.70
F: 0.4704 0.8107 0.7677  1 Be 1.77
F: 0.5296 0.1893 0.2323  1 Be 1.77
F: 0.7727 0.7727 0.3561  1 Be 1.70
F: 0.8107 0.4704 0.7677  1 Be 1.77